(1)
Ca3La4Pb4 | GGA-PBE | optimized geometry

Calculated values
Size of the total moment   0.005 μB per formula unit
Calculated formation energy   -365 meV/atom
VASP energy   -4.0508 eV/atom
Space group   Immm (71)

a = 10.4647 Å, b = 10.4647 Å, c = 10.4647 Å
α = 148.91°, β = 139.46°, γ = 51.95°
With the nearest neighbours (Å) after each atom.
Element x y z (fractional)
Ca 0.0000 0.0000 0.0000  6 Pb 3.26-3.46
Ca 0.4048 0.9048 0.5000  1 Ca 3.58, 6 Pb 3.70-3.91, 4 La 3.72
Ca 0.5952 0.0952 0.5000  1 Ca 3.58, 6 Pb 3.70-3.91, 4 La 3.72
La 0.0586 0.3243 0.7343  4 Pb 3.28-3.43, 1 La 3.40
La 0.4101 0.6757 0.7343  4 Pb 3.28-3.43, 1 La 3.40
La 0.5899 0.3243 0.2656  4 Pb 3.28-3.43, 1 La 3.40
La 0.9414 0.6757 0.2656  4 Pb 3.28-3.43, 1 La 3.40
Pb 0.1732 0.1732 0.0000  1 Ca 3.26, 6 La 3.28-3.43
Pb 0.2784 0.5000 0.7784  1 Pb 3.21, 2 La 3.32, 2 Ca 3.46
Pb 0.7216 0.5000 0.2216  1 Pb 3.21, 2 La 3.32, 2 Ca 3.46
Pb 0.8268 0.8268 0.0000  1 Ca 3.26, 6 La 3.28-3.43

***

(2)
BaTiCl2O | GGA-PBE | optimized geometry

Calculated values
Size of the total moment   4.000 μB per formula unit
VASP energy   -3.6211 eV/atom
Uncorrected formation energy   0.073 eV/atom
Space group   P4/mmm (123)

a = 5.7310 Å, b = 5.7310 Å, c = 16.4570 Å
α = 90.00°, β = 90.00°, γ = 90.00°
With the nearest neighbours (Å) after each atom.
Element x y z (fractional)
Ba 0.0000 0.0000 0.0000  4 Cl 2.87
Ti 0.0000 0.0000 0.5000  4 O 4.05
Cl 0.0000 0.5000 0.0000  2 Ba 2.87
Cl 0.5000 0.0000 0.0000  2 Ba 2.87
O 0.5000 0.5000 0.5000  4 Ti 4.05

***

(3)
Y5Hg4 | GGA-PBE | optimized geometry

Calculated values
Size of the total moment   0.000 μB per formula unit
Calculated formation energy   -425 meV/atom
VASP energy   -4.1506 eV/atom
Space group   P6_3/mcm (193)

a = 9.1692 Å, b = 9.1692 Å, c = 6.6937 Å
α = 90.00°, β = 90.00°, γ = 120.00°
With the nearest neighbours (Å) after each atom.
Element x y z (fractional)
Y 0.0000 0.2873 0.2500  5 Hg 3.04-3.15
Y 0.0000 0.7127 0.7500  5 Hg 3.04-3.15
Y 0.2873 0.0000 0.2500  5 Hg 3.04-3.15
Y 0.2873 0.2873 0.7500  5 Hg 3.04-3.15
Y 0.3333 0.6667 0.0000  6 Hg 3.32, 8 Y 3.35-3.69
Y 0.3333 0.6667 0.5000  6 Hg 3.32, 8 Y 3.35-3.69
Y 0.6667 0.3333 0.0000  6 Hg 3.32, 8 Y 3.35-3.69
Y 0.6667 0.3333 0.5000  6 Hg 3.32, 8 Y 3.35-3.69
Y 0.7127 0.0000 0.7500  5 Hg 3.04-3.15
Y 0.7127 0.7127 0.2500  5 Hg 3.04-3.15
Hg 0.0000 0.0000 0.0000  6 Y 3.12, 2 Hg 3.35
Hg 0.0000 0.0000 0.5000  6 Y 3.12, 2 Hg 3.35
Hg 0.0000 0.3808 0.7500  7 Y 3.04-3.32
Hg 0.0000 0.6192 0.2500  7 Y 3.04-3.32
Hg 0.3808 0.0000 0.7500  7 Y 3.04-3.32
Hg 0.3808 0.3808 0.2500  7 Y 3.04-3.32
Hg 0.6192 0.0000 0.2500  7 Y 3.04-3.32
Hg 0.6192 0.6192 0.7500  7 Y 3.04-3.32

***

(4)
Dy6USe8 | GGA-PBE | optimized geometry

Calculated values
Size of the total moment   3.757 μB per formula unit
VASP energy   -6.1376 eV/atom
Uncorrected formation energy   -1.686 eV/atom
Space group   Fm-3m (225)

a = 8.1283 Å, b = 8.1283 Å, c = 8.1283 Å
α = 60.00°, β = 60.00°, γ = 60.00°
With the nearest neighbours (Å) after each atom.
Element x y z (fractional)
Dy 0.0000 0.0000 0.5000  6 Se 2.87
Dy 0.0000 0.5000 0.0000  6 Se 2.87
Dy 0.0000 0.5000 0.5000  6 Se 2.87
Dy 0.5000 0.0000 0.0000  6 Se 2.87
Dy 0.5000 0.0000 0.5000  6 Se 2.87
Dy 0.5000 0.5000 0.0000  6 Se 2.87
U 0.0000 0.0000 0.0000  6 Se 2.94
Se 0.2500 0.2500 0.2500  6 Dy 2.87
Se 0.2556 0.2556 0.7444  4 Dy 2.87, 1 U 2.94
Se 0.2556 0.7444 0.2556  4 Dy 2.87, 1 U 2.94
Se 0.2556 0.7444 0.7444  4 Dy 2.87, 1 U 2.94
Se 0.7444 0.2556 0.2556  4 Dy 2.87, 1 U 2.94
Se 0.7444 0.2556 0.7444  4 Dy 2.87, 1 U 2.94
Se 0.7444 0.7444 0.2556  4 Dy 2.87, 1 U 2.94
Se 0.7500 0.7500 0.7500  6 Dy 2.87

***

Calculated calculated volume, 382.6, 540.5, 487.4, 379.7 Å³/cell (same order as the records).